# 1
# Y4P2S (PBE, optimized geometry)
data_Y4P2S
_cell_length_a 8.6893
_cell_length_b 8.6893
_cell_length_c 9.0175
_cell_angle_alpha 90.00
_cell_angle_beta 90.00
_cell_angle_gamma 90.00
_space_group_name_H-M_alt 'I 41/a m d'
_space_group_IT_number 141
loop_
_space_group_symop_operation_xyz
'x,y,z'
'-x,-y,-z'
'-y+1/4,x+3/4,z+1/4'
'y+1/4,-x+3/4,-z+1/4'
'-x+1/2,-y,z+1/2'
'x+1/2,y,-z+1/2'
'y+1/4,-x+1/4,z+3/4'
'-y+1/4,x+1/4,-z+3/4'
'x,-y,-z'
'-x,y,z'
'-y+1/4,-x+1/4,-z+3/4'
'y+1/4,x+1/4,z+3/4'
'-x+1/2,y,-z+1/2'
'x+1/2,-y,z+1/2'
'y+1/4,x+3/4,-z+1/4'
'-y+1/4,-x+3/4,z+1/4'
'x+1/2,y+1/2,z+1/2'
'-x+1/2,-y+1/2,-z+1/2'
'-y+3/4,x+1/4,z+3/4'
'y+3/4,-x+1/4,-z+3/4'
'-x,-y+1/2,z'
'x,y+1/2,-z'
'y+3/4,-x+3/4,z+1/4'
'-y+3/4,x+3/4,-z+1/4'
'x+1/2,-y+1/2,-z+1/2'
'-x+1/2,y+1/2,z+1/2'
'-y+3/4,-x+3/4,-z+1/4'
'y+3/4,x+3/4,z+1/4'
'-x,y+1/2,-z'
'x,-y+1/2,z'
'y+3/4,x+1/4,-z+3/4'
'-y+3/4,-x+1/4,z+3/4'
loop_
_atom_site_label
_atom_site_fract_x
_atom_site_fract_y
_atom_site_fract_z
_atom_site_occupancy
Y1 0.0000 0.0521 0.2059 1
P1 0.0000 0.0000 0.5000 1
S1 0.0000 0.2500 0.8750 1
# * formation energy from raw total energies: -1318 meV/atom

# 2
# SmGd2Ti (PBE, optimized geometry)
data_SmGd2Ti
_cell_length_a 3.4175
_cell_length_b 3.4175
_cell_length_c 33.4561
_cell_angle_alpha 90.00
_cell_angle_beta 90.00
_cell_angle_gamma 120.00
_space_group_name_H-M_alt 'R -3 m'
_space_group_IT_number 166
_space_group_name_Hall '-R 3 2"'
loop_
_atom_site_label
_atom_site_fract_x
_atom_site_fract_y
_atom_site_fract_z
_atom_site_occupancy
Sm1 0.0000 0.0000 0.0000 1
Gd1 0.0000 0.0000 0.2412 1
Ti1 0.0000 0.0000 0.5000 1
# * formation enthalpy at 0 K: 212.4 meV per atom
# * relative energy among the computed polymorphs: 41 meV per atom

# 3
# Ba2CoAg (PBE, optimized geometry)
data_Ba2CoAg
_cell_length_a 4.7374
_cell_length_b 4.7374
_cell_length_c 6.6122
_cell_angle_alpha 90.00
_cell_angle_beta 90.00
_cell_angle_gamma 90.00
_space_group_name_H-M_alt 'P 4 m m'
_space_group_IT_number 99
_space_group_name_Hall 'P 4 -2'
loop_
_atom_site_label
_atom_site_fract_x
_atom_site_fract_y
_atom_site_fract_z
_atom_site_occupancy
Ba1 0.0000 0.0000 0.0000 1
Ba2 0.5000 0.5000 0.4987 1
Co1 0.5000 0.5000 0.9987 1
Ag1 0.0000 0.0000 0.5003 1
# * formation enthalpy at 0 K: 380.7 meV per atom
# * relative energy among the computed polymorphs: 226 meV per atom

# 4
# LaPuTaN3 (PBE, optimized geometry)
data_LaPuTaN3
_cell_length_a 7.5035
_cell_length_b 3.5206
_cell_length_c 7.9246
_cell_angle_alpha 90.00
_cell_angle_beta 95.23
_cell_angle_gamma 90.00
_space_group_name_H-M_alt 'P 1 21/m 1'
_space_group_IT_number 11
_space_group_name_Hall '-P 2yb'
loop_
_atom_site_label
_atom_site_fract_x
_atom_site_fract_y
_atom_site_fract_z
_atom_site_occupancy
La1 0.1577 0.2500 0.1652 1
Pu1 0.3803 0.7500 0.8391 1
Ta1 0.1186 0.2500 0.5901 1
N1 0.1193 0.2500 0.8430 1
N2 0.1720 0.7500 0.4695 1
N3 0.4116 0.7500 0.1155 1
# * formation energy from raw total energies: -996 meV/atom

# 5
# TmCdAs2O8 (PBE, optimized geometry)
data_TmCdAs2O8
_cell_length_a 7.1461
_cell_length_b 7.1461
_cell_length_c 6.3719
_cell_angle_alpha 90.00
_cell_angle_beta 90.00
_cell_angle_gamma 90.00
_space_group_name_H-M_alt 'I -4 m 2'
_space_group_IT_number 119
_space_group_name_Hall 'I -4 -2'
loop_
_atom_site_label
_atom_site_fract_x
_atom_site_fract_y
_atom_site_fract_z
_atom_site_occupancy
Tm1 0.0000 0.0000 0.0000 1
Cd1 0.0000 0.5000 0.2500 1
As1 0.0000 0.0000 0.5000 1
As2 0.0000 0.5000 0.7500 1
O1 0.0000 0.1788 0.3184 1
O2 0.0000 0.3125 0.9189 1
# * formation energy from raw total energies: -1627 meV/atom

# 6
# ZnSiMo2 (PBE, optimized geometry)
data_ZnSiMo2
_cell_length_a 2.8200
_cell_length_b 2.8200
_cell_length_c 26.6744
_cell_angle_alpha 90.00
_cell_angle_beta 90.00
_cell_angle_gamma 120.00
_space_group_name_H-M_alt 'R 3 m'
_space_group_IT_number 160
_space_group_name_Hall 'R 3 -2"'
loop_
_atom_site_label
_atom_site_fract_x
_atom_site_fract_y
_atom_site_fract_z
_atom_site_occupancy
Zn1 0.0000 0.0000 0.0000 1
Si1 0.0000 0.0000 0.7489 1
Mo1 0.0000 0.0000 0.2471 1
Mo2 0.0000 0.0000 0.4933 1
# * formation energy from raw total energies: 209 meV/atom
# * relative energy among the computed polymorphs: 243 meV per atom

# 7
# AgAs2Br (PBE, optimized geometry)
data_AgAs2Br
_cell_length_a 3.7751
_cell_length_b 3.7751
_cell_length_c 16.6573
_cell_angle_alpha 90.00
_cell_angle_beta 90.00
_cell_angle_gamma 90.00
_space_group_name_H-M_alt 'I 4/m m m'
_space_group_IT_number 139
_space_group_name_Hall '-I 4 2'
loop_
_atom_site_label
_atom_site_fract_x
_atom_site_fract_y
_atom_site_fract_z
_atom_site_occupancy
Ag1 0.0000 0.0000 0.0000 1
As1 0.0000 0.5000 0.2500 1
Br1 0.0000 0.0000 0.5000 1
# * formation energy from raw total energies: 222 meV/atom
# * relative energy among the computed polymorphs: 352 meV per atom

# 8
# Ba2MgCl (PBE, optimized geometry)
data_Ba2MgCl
_cell_length_a 8.0222
_cell_length_b 4.6197
_cell_length_c 9.2756
_cell_angle_alpha 90.00
_cell_angle_beta 106.67
_cell_angle_gamma 90.00
_space_group_name_H-M_alt 'C 1 2/m 1'
_space_group_IT_number 12
_space_group_name_Hall '-C 2y'
loop_
_atom_site_label
_atom_site_fract_x
_atom_site_fract_y
_atom_site_fract_z
_atom_site_occupancy
Ba1 0.2408 0.0000 0.2231 1
Mg1 0.0000 0.0000 0.5000 1
Cl1 0.0000 0.5000 0.0000 1
# * formation energy from raw total energies: -821 meV/atom
# * relative energy among the computed polymorphs: 66 meV per atom

# 9
# Hf2ScTl2 (PBE, optimized geometry)
data_Hf2ScTl2
_cell_length_a 8.6642
_cell_length_b 8.6642
_cell_length_c 3.2022
_cell_angle_alpha 90.00
_cell_angle_beta 90.00
_cell_angle_gamma 90.00
_space_group_name_H-M_alt 'P 4/m b m'
_space_group_IT_number 127
_space_group_name_Hall '-P 4 2ab'
loop_
_atom_site_label
_atom_site_fract_x
_atom_site_fract_y
_atom_site_fract_z
_atom_site_occupancy
Hf1 0.1221 0.3779 0.0000 1
Sc1 0.0000 0.0000 0.0000 1
Tl1 0.1758 0.6758 0.5000 1
# * formation enthalpy at 0 K: 242.2 meV per atom
# * relative energy among the computed polymorphs: 134 meV per atom

# 10
# CaCdIn2 (PBE, optimized geometry)
data_CaCdIn2
_cell_length_a 10.8180
_cell_length_b 3.6833
_cell_length_c 5.5767
_cell_angle_alpha 90.00
_cell_angle_beta 103.64
_cell_angle_gamma 90.00
_space_group_name_H-M_alt 'C 1 m 1'
_space_group_IT_number 8
_space_group_name_Hall 'C -2y'
loop_
_atom_site_label
_atom_site_fract_x
_atom_site_fract_y
_atom_site_fract_z
_atom_site_occupancy
Ca1 0.0000 0.0000 0.0000 1
Cd1 0.2457 0.0000 0.7359 1
In1 0.9997 0.5000 0.5050 1
In2 0.2553 0.5000 0.2555 1
# * formation enthalpy at 0 K: -221.0 meV per atom

# 11
# Cd2ReBPt (PBE, optimized geometry)
data_Cd2ReBPt
_cell_length_a 4.5457
_cell_length_b 4.5457
_cell_length_c 4.0564
_cell_angle_alpha 90.00
_cell_angle_beta 90.00
_cell_angle_gamma 90.00
_space_group_name_H-M_alt 'P 4/m m m'
_space_group_IT_number 123
_space_group_name_Hall '-P 4 2'
loop_
_atom_site_label
_atom_site_fract_x
_atom_site_fract_y
_atom_site_fract_z
_atom_site_occupancy
Cd1 0.0000 0.5000 0.0000 1
Re1 0.0000 0.0000 0.5000 1
B1 0.5000 0.5000 0.0000 1
Pt1 0.5000 0.5000 0.5000 1
# * formation enthalpy at 0 K: 934.6 meV per atom

# 12
# AgHg2Rh (PBE, optimized geometry)
data_AgHg2Rh
_cell_length_a 4.2996
_cell_length_b 4.2996
_cell_length_c 3.9798
_cell_angle_alpha 90.00
_cell_angle_beta 90.00
_cell_angle_gamma 90.00
_space_group_name_H-M_alt 'P 4/m m m'
_space_group_IT_number 123
_space_group_name_Hall '-P 4 2'
loop_
_atom_site_label
_atom_site_fract_x
_atom_site_fract_y
_atom_site_fract_z
_atom_site_occupancy
Ag1 0.0000 0.0000 0.0000 1
Hg1 0.0000 0.5000 0.5000 1
Rh1 0.5000 0.5000 0.0000 1
# * formation enthalpy at 0 K: 90.7 meV per atom

# 13
# Pm3Nd3Ag4 (PBE, optimized geometry)
data_Pm3Nd3Ag4
_cell_length_a 3.8611
_cell_length_b 12.0887
_cell_length_c 12.1468
_cell_angle_alpha 90.00
_cell_angle_beta 90.00
_cell_angle_gamma 90.00
_space_group_name_H-M_alt 'A m m 2'
_space_group_IT_number 38
_space_group_name_Hall 'A 2 -2'
loop_
_atom_site_label
_atom_site_fract_x
_atom_site_fract_y
_atom_site_fract_z
_atom_site_occupancy
Pm1 0.0000 0.0000 0.0000 1
Pm2 0.0000 0.1685 0.6700 1
Nd1 0.0000 0.0000 0.3376 1
Nd2 0.5000 0.2498 0.4197 1
Ag1 0.5000 0.0000 0.5467 1
Ag2 0.5000 0.0000 0.7934 1
Ag3 0.5000 0.1242 0.1680 1
# * formation enthalpy at 0 K: -180.6 meV per atom

# 14
# NbIr3N (PBE, optimized geometry)
data_NbIr3N
_cell_length_a 4.8196
_cell_length_b 4.8196
_cell_length_c 4.8196
_cell_angle_alpha 90.00
_cell_angle_beta 90.00
_cell_angle_gamma 90.00
_space_group_name_H-M_alt 'P m -3 m'
_space_group_IT_number 221
_space_group_name_Hall '-P 4 2 3'
loop_
_atom_site_label
_atom_site_fract_x
_atom_site_fract_y
_atom_site_fract_z
_atom_site_occupancy
Nb1 0.0000 0.0000 0.0000 1
Ir1 0.0000 0.0000 0.5000 1
N1 0.5000 0.5000 0.5000 1
# * formation energy from raw total energies: 2772 meV/atom
# * relative energy among the computed polymorphs: 2343 meV per atom

# 15
# YZr2MoRu (PBE, optimized geometry)
data_YZr2MoRu
_cell_length_a 5.0789
_cell_length_b 5.0789
_cell_length_c 4.5790
_cell_angle_alpha 90.00
_cell_angle_beta 90.00
_cell_angle_gamma 90.00
_space_group_name_H-M_alt 'P 4/m m m'
_space_group_IT_number 123
_space_group_name_Hall '-P 4 2'
loop_
_atom_site_label
_atom_site_fract_x
_atom_site_fract_y
_atom_site_fract_z
_atom_site_occupancy
Y1 0.0000 0.0000 0.0000 1
Zr1 0.0000 0.5000 0.0000 1
Mo1 0.5000 0.5000 0.5000 1
Ru1 0.0000 0.0000 0.5000 1
# * formation enthalpy at 0 K: 1908.2 meV per atom

# 16
# Lu2RhAu (PBE, optimized geometry)
data_Lu2RhAu
_cell_length_a 3.4522
_cell_length_b 3.4522
_cell_length_c 6.8624
_cell_angle_alpha 90.00
_cell_angle_beta 90.00
_cell_angle_gamma 90.00
_space_group_name_H-M_alt 'P 4/m m m'
_space_group_IT_number 123
_space_group_name_Hall '-P 4 2'
loop_
_atom_site_label
_atom_site_fract_x
_atom_site_fract_y
_atom_site_fract_z
_atom_site_occupancy
Lu1 0.0000 0.0000 0.2365 1
Rh1 0.5000 0.5000 0.0000 1
Au1 0.5000 0.5000 0.5000 1
# * formation enthalpy at 0 K: -932.1 meV per atom

# 17
# Tb2SmCu2Si2 (PBE, optimized geometry)
data_Tb2SmCu2Si2
_cell_length_a 4.0999
_cell_length_b 4.0999
_cell_length_c 32.4211
_cell_angle_alpha 90.00
_cell_angle_beta 90.00
_cell_angle_gamma 120.00
_space_group_name_H-M_alt 'R -3 m'
_space_group_IT_number 166
_space_group_name_Hall '-R 3 2"'
loop_
_atom_site_label
_atom_site_fract_x
_atom_site_fract_y
_atom_site_fract_z
_atom_site_occupancy
Tb1 0.0000 0.0000 0.1197 1
Sm1 0.0000 0.0000 0.0000 1
Cu1 0.0000 0.0000 0.3966 1
Si1 0.0000 0.0000 0.2708 1
# * formation energy from raw total energies: -491 meV/atom

# 18
# KSrP2O (PBE, optimized geometry)
data_KSrP2O
_cell_length_a 6.0978
_cell_length_b 6.0978
_cell_length_c 4.5878
_cell_angle_alpha 90.00
_cell_angle_beta 90.00
_cell_angle_gamma 90.00
_space_group_name_H-M_alt 'P 4/m m m'
_space_group_IT_number 123
_space_group_name_Hall '-P 4 2'
loop_
_atom_site_label
_atom_site_fract_x
_atom_site_fract_y
_atom_site_fract_z
_atom_site_occupancy
K1 0.0000 0.0000 0.0000 1
Sr1 0.5000 0.5000 0.5000 1
P1 0.0000 0.5000 0.5000 1
O1 0.5000 0.5000 0.0000 1
# * formation energy from raw total energies: 144 meV/atom
# * relative energy among the computed polymorphs: 0 meV per atom

# 19
# LiGaS2Cl (PBE, optimized geometry)
data_LiGaS2Cl
_cell_length_a 4.2353
_cell_length_b 4.2353
_cell_length_c 6.4997
_cell_angle_alpha 90.00
_cell_angle_beta 90.00
_cell_angle_gamma 90.00
_space_group_name_H-M_alt 'P 4/m m m'
_space_group_IT_number 123
_space_group_name_Hall '-P 4 2'
loop_
_atom_site_label
_atom_site_fract_x
_atom_site_fract_y
_atom_site_fract_z
_atom_site_occupancy
Li1 0.0000 0.0000 0.0000 1
Ga1 0.5000 0.5000 0.5000 1
S1 0.0000 0.5000 0.0000 1
Cl1 0.0000 0.0000 0.5000 1
# * formation energy from raw total energies: 7 meV/atom
# * relative energy among the computed polymorphs: 383 meV per atom

# 20
# Y4InGa12 (PBE, optimized geometry)
data_Y4InGa12
_cell_length_a 8.8320
_cell_length_b 8.8320
_cell_length_c 8.8320
_cell_angle_alpha 90.00
_cell_angle_beta 90.00
_cell_angle_gamma 90.00
_space_group_name_H-M_alt 'I m -3 m'
_space_group_IT_number 229
_space_group_name_Hall '-I 4 2 3'
loop_
_atom_site_label
_atom_site_fract_x
_atom_site_fract_y
_atom_site_fract_z
_atom_site_occupancy
Y1 0.2500 0.2500 0.2500 1
In1 0.0000 0.0000 0.0000 1
Ga1 0.0000 0.0000 0.3179 1
Ga2 0.0000 0.2500 0.5000 1
# * formation enthalpy at 0 K: -469.0 meV per atom

Number 1: M_tot 0.00 μB per cell. Number 2: M_tot 42.14 μB per cell. Number 3: M_tot 1.01 μB per cell. Number 4: M_tot 10.62 μB per cell. Number 5: M_tot 2.21 μB per cell. Number 6: M_tot 0.00 μB per cell. Number 7: M_tot 0.00 μB per cell. Number 8: M_tot 0.09 μB per cell. Number 9: M_tot 2.50 μB per cell. Number 10: M_tot 0.00 μB per cell. Number 11: M_tot 1.65 μB per cell. Number 12: M_tot 0.00 μB per cell. Number 13: M_tot 0.00 μB per cell. Number 14: M_tot 3.53 μB per cell. Number 15: M_tot 0.00 μB per cell. Number 16: M_tot 0.00 μB per cell. Number 17: M_tot 0.01 μB per cell. Number 18: M_tot 5.02 μB per cell. Number 19: M_tot 0.00 μB per cell. Number 20: M_tot 0.00 μB per cell.